This record from the Alexandria database describes crystalline PaIn2Ni at its relaxed geometry. The functional is PBE.

Calculated values
Formation energy from the elements = -0.237 eV/atom
DOS(E_F) = 13.1 states/eV/cell
Calculated density = 10.04 g/cm³

Lattice parameters (Å, degrees): 4.625 4.625 16.058 90.00 90.00 90.00
Space group I4/mmm (No. 139)
Inequivalent atoms, fractional coordinates:
Pa1 0.000 0.000 0.153 x4
In1 0.000 0.000 0.354 x4
In2 0.000 0.500 0.000 x4
Ni1 0.000 0.500 0.250 x4

=====

This record from the Alexandria database describes crystalline Pa2In2Ni15 at its relaxed geometry. The functional is PBE.

Calculated values
Formation energy from the elements = -0.115 eV/atom
DOS(E_F) = 75.8 states/eV/cell
Calculated density = 10.03 g/cm³

Lattice parameters (Å, degrees): 8.3908 8.3908 12.8046 90.00 90.00 120.00
Space group R-3m (No. 166, hexagonal axes)
Inequivalent atoms, fractional coordinates:
Pa1 0.0000 0.0000 0.1159 x6
In1 0.0000 0.0000 0.3742 x6
Ni1 0.0000 0.3213 0.0000 x18
Ni2 0.0000 0.5000 0.5000 x9
Ni3 0.0071 0.5036 0.1618 x18

=====

This record from the Alexandria database describes crystalline PaIn3Ni8 at its relaxed geometry. The functional is PBE.

Calculated values
Formation energy from the elements = -0.225 eV/atom
DOS(E_F) = 25.6 states/eV/cell
Calculated density = 9.99 g/cm³

Lattice parameters (Å, degrees): 4.9554 4.9554 24.4996 90.00 90.00 120.00
Space group R3m (No. 160, hexagonal axes)
Inequivalent atoms, fractional coordinates:
Pa1 0.0000 0.0000 0.0000 x3
In1 0.0000 0.0000 0.3851 x3
In2 0.0000 0.0000 0.5058 x3
In3 0.0000 0.0000 0.8716 x3
Ni1 0.0000 0.0000 0.1887 x3
Ni2 0.0000 0.0000 0.6890 x3
Ni3 0.0029 0.5015 0.9396 x9
Ni4 0.1672 0.3343 0.7715 x9

=====

This record from the Alexandria database describes crystalline Pa3InNi8 at its relaxed geometry. The functional is PBE.

Calculated values
Formation energy from the elements = -0.363 eV/atom
DOS(E_F) = 11.8 states/eV/cell
Calculated density = 11.82 g/cm³

Lattice parameters (Å, degrees): 4.9898 4.9898 8.3262 90.00 90.00 120.00
Space group P3m1 (No. 156)
Inequivalent atoms, fractional coordinates:
Pa1 0.0000 0.0000 0.0000 x1
Pa2 0.0000 0.0000 0.3790 x1
Pa3 0.3333 0.6667 0.8772 x1
In1 0.3333 0.6667 0.5047 x1
Ni1 0.3354 0.1677 0.6957 x3
Ni2 0.5005 0.0011 0.1978 x3
Ni3 0.6667 0.3333 0.4490 x1
Ni4 0.6667 0.3333 0.9532 x1

=====

This record from the Alexandria database describes crystalline Pa2In8Ni at its relaxed geometry. The functional is PBE.

Calculated values
Formation energy from the elements = -0.147 eV/atom
DOS(E_F) = 11.8 states/eV/cell
Calculated density = 9.13 g/cm³

Lattice parameters (Å, degrees): 4.647 4.647 12.120 90.00 90.00 90.00
Space group P4/mmm (No. 123)
Inequivalent atoms, fractional coordinates:
Pa1 0.000 0.000 0.192 x2
In1 0.000 0.500 0.000 x2
In2 0.000 0.500 0.379 x4
In3 0.500 0.500 0.190 x2
Ni1 0.000 0.000 0.500 x1

=====

This record from the Alexandria database describes crystalline PaInNiRh at its relaxed geometry. The functional is PBE.

Calculated values
Formation energy from the elements = -0.428 eV/atom
DOS(E_F) = 15.8 states/eV/cell
Calculated density = 11.33 g/cm³

Lattice parameters (Å, degrees): 6.676 6.676 6.676 90.00 90.00 90.00
Space group F-43m (No. 216)
Inequivalent atoms, fractional coordinates:
Pa1 0.000 0.000 0.000 x4
In1 0.000 0.000 0.500 x4
Ni1 0.250 0.250 0.750 x4
Rh1 0.250 0.250 0.250 x4

=====

This record from the Alexandria database describes crystalline PaInNiRu at its relaxed geometry. The functional is PBE.

Calculated values
Formation energy from the elements = -0.248 eV/atom
DOS(E_F) = 20.4 states/eV/cell
Calculated density = 11.42 g/cm³

Lattice parameters (Å, degrees): 6.650 6.650 6.650 90.00 90.00 90.00
Space group F-43m (No. 216)
Inequivalent atoms, fractional coordinates:
Pa1 0.000 0.000 0.000 x4
In1 0.000 0.000 0.500 x4
Ni1 0.250 0.250 0.250 x4
Ru1 0.250 0.250 0.750 x4

=====

This record from the Alexandria database describes crystalline PaInNiS4 at its relaxed geometry. The functional is PBE.

Calculated values
DOS(E_F) = 11.1 states/eV/cell
Energy = -5.828 eV per atom
Calculated density = 5.88 g/cm³

Lattice parameters (Å, degrees): 6.535 5.613 8.573 90.00 106.79 90.00
Space group P2_1/m (No. 11)
Inequivalent atoms, fractional coordinates:
Pa1 0.240 0.250 0.447 x2
In1 0.194 0.250 0.947 x2
Ni1 0.263 0.750 0.654 x2
S1 0.067 0.750 0.400 x2
S2 0.070 0.750 0.835 x2
S3 0.482 0.509 0.286 x4

=====

This record from the Alexandria database describes crystalline Pa2In2NiS6 at its relaxed geometry. The functional is PBE.

Calculated values
Energy = -5.986 eV per atom
Calculated density = 5.18 g/cm³

Lattice parameters (Å, degrees): 6.513 12.751 7.426 90.00 101.68 90.00
Space group C2/m (No. 12)
Inequivalent atoms, fractional coordinates:
Pa1 0.000 0.159 0.000 x4
In1 0.000 0.362 0.500 x4
Ni1 0.000 0.500 0.000 x2
S1 0.246 0.210 0.773 x8
S2 0.250 0.000 0.151 x4

=====

This record from the Alexandria database describes crystalline Pa2InNi2S6 at its relaxed geometry. The functional is PBE.

Calculated values
DOS(E_F) = 5.9 states/eV/cell
Energy = -6.284 eV per atom
Calculated density = 5.79 g/cm³

Lattice parameters (Å, degrees): 6.859 6.895 7.089 64.77 64.33 60.99
Space group P-1 (No. 2)
Inequivalent atoms, fractional coordinates:
Pa1 0.171 0.492 0.175 x2
In1 0.500 0.500 0.500 x1
Ni1 0.198 0.941 0.841 x2
S1 0.060 0.742 0.800 x2
S2 0.218 0.248 0.579 x2
S3 0.416 0.749 0.064 x2

=====

This record from the Alexandria database describes crystalline PaInNiSe3 at its relaxed geometry. The functional is PBE.

Calculated values
DOS(E_F) = 4.3 states/eV/cell
Energy = -5.584 eV per atom
Calculated density = 6.63 g/cm³

Lattice parameters (Å, degrees): 9.164 3.986 9.391 90.00 110.46 90.00
Space group P2_1/m (No. 11)
Inequivalent atoms, fractional coordinates:
Pa1 0.191 0.250 0.174 x2
In1 0.309 0.750 0.751 x2
Ni1 0.406 0.750 0.397 x2
Se1 0.044 0.250 0.844 x2
Se2 0.309 0.250 0.484 x2
Se3 0.391 0.750 0.134 x2

=====

This record from the Alexandria database describes crystalline PaInTcNi at its relaxed geometry. The functional is PBE.

Calculated values
Formation energy from the elements = -0.105 eV/atom
DOS(E_F) = 15.9 states/eV/cell
Calculated density = 11.32 g/cm³

Lattice parameters (Å, degrees): 6.657 6.657 6.657 90.00 90.00 90.00
Space group F-43m (No. 216)
Inequivalent atoms, fractional coordinates:
Pa1 0.000 0.000 0.000 x4
In1 0.000 0.000 0.500 x4
Tc1 0.250 0.250 0.250 x4
Ni1 0.250 0.250 0.750 x4